[1]
Here is Ca2Mn2O5 at its PBEsol-relaxed geometry from Alexandria via LeMat-Bulk. Energies are from meta-GGA SCAN.

## Properties
Energy relative to the elements, uncorrected in meV/atom: -2687
DFT total energy in eV/atom: -12.353
Space-group type: No. 55

Cell lengths 5.354, 10.157, 3.762 Å; angles 90.00, 90.00, 90.00 degrees
Fractional positions:
Ca  0.191  0.133  0.000
Ca  0.309  0.633  0.000
Ca  0.691  0.367  0.000
Ca  0.809  0.867  0.000
Mn  0.218  0.381  0.500
Mn  0.282  0.881  0.500
Mn  0.718  0.119  0.500
Mn  0.782  0.619  0.500
O  0.000  0.000  0.500
O  0.079  0.717  0.500
O  0.204  0.400  0.000
O  0.296  0.900  0.000
O  0.421  0.217  0.500
O  0.500  0.500  0.500
O  0.579  0.783  0.500
O  0.704  0.100  0.000
O  0.796  0.600  0.000
O  0.921  0.283  0.500

=====

[2]
Here is CuTc2Os at its PBEsol-relaxed geometry from Alexandria via LeMat-Bulk. Energies are from meta-GGA SCAN.

## Properties
DFT total energy in eV/atom: -39.071
Formation enthalpy at 0 K in eV per formula unit: 0.9
Space-group type: No. 12

Cell lengths 4.703, 4.703, 3.694 Å; angles 112.47, 112.47, 46.15 degrees
Fractional positions:
Cu  0.000  0.000  0.000
Tc  0.250  0.250  0.767
Tc  0.750  0.750  0.233
Os  0.500  0.500  0.500

=====

[3]
Here is ScI3 at its PBEsol-relaxed geometry from Alexandria via LeMat-Bulk. Energies are from meta-GGA SCAN.

## Properties
Energy relative to the elements, uncorrected in meV/atom: -1250
DFT total energy in eV/atom: -32.366
Space-group type: No. 194

Cell lengths 10.523, 10.523, 3.751 Å; angles 90.00, 90.00, 120.00 degrees
Fractional positions:
Sc  0.333  0.667  0.250
Sc  0.667  0.333  0.750
I  0.213  0.426  0.750
I  0.213  0.787  0.750
I  0.426  0.213  0.250
I  0.574  0.787  0.750
I  0.787  0.213  0.250
I  0.787  0.574  0.250

=====

[4]
Here is LiLaPb2 at its PBEsol-relaxed geometry from Alexandria via LeMat-Bulk. Energies are from meta-GGA SCAN.

## Properties
DFT total energy in eV/atom: -49.857
Formation enthalpy at 0 K in eV per formula unit: -2.4
Space-group type: No. 47

Cell lengths 3.342, 4.399, 7.153 Å; angles 90.00, 90.00, 90.00 degrees
Fractional positions:
Li  0.000  0.000  0.000
La  0.000  0.000  0.500
Pb  0.500  0.500  0.215
Pb  0.500  0.500  0.785

=====

[5]
Here is KTl2Ag at its PBEsol-relaxed geometry from Alexandria via LeMat-Bulk. Energies are from meta-GGA SCAN.

## Properties
DFT total energy in eV/atom: -46.079
Formation enthalpy at 0 K in eV per formula unit: 0.1
Space-group type: No. 6

Cell lengths 3.338, 4.964, 6.838 Å; angles 90.00, 104.10, 90.00 degrees
Fractional positions:
K  0.000  0.000  0.000
Tl  0.259  0.000  0.528
Tl  0.651  0.500  0.303
Ag  0.371  0.500  0.735

=====

[6]
Here is BaZr2TiIn at its PBEsol-relaxed geometry from Alexandria via LeMat-Bulk. Energies are from meta-GGA SCAN.

## Properties
DFT total energy in eV/atom: -29.237
Formation enthalpy at 0 K in eV per formula unit: 4.2
Space-group type: No. 123

Cell lengths 5.445, 5.445, 5.166 Å; angles 90.00, 90.00, 90.00 degrees
Fractional positions:
Ba  0.000  0.000  0.000
Zr  0.000  0.500  0.500
Zr  0.500  0.000  0.500
Ti  0.500  0.500  0.000
In  0.500  0.500  0.500

=====

[7]
Here is YTaBe2Cd at its PBEsol-relaxed geometry from Alexandria via LeMat-Bulk. Energies are from meta-GGA SCAN.

## Properties
DFT total energy in eV/atom: -24.600
Formation enthalpy at 0 K in eV per formula unit: 10.5
Space-group type: No. 123

Cell lengths 4.491, 4.491, 5.077 Å; angles 90.00, 90.00, 90.00 degrees
Fractional positions:
Y  0.000  0.000  0.000
Ta  0.500  0.500  0.500
Be  0.000  0.500  0.000
Be  0.500  0.000  0.000
Cd  0.000  0.000  0.500

=====

[8]
Here is BaMgAg2 at its PBEsol-relaxed geometry from Alexandria via LeMat-Bulk. Energies are from meta-GGA SCAN.

## Properties
DFT total energy in eV/atom: -26.969
Formation enthalpy at 0 K in eV per formula unit: -0.6
Space-group type: No. 47

Cell lengths 3.495, 3.783, 7.451 Å; angles 90.00, 90.00, 90.00 degrees
Fractional positions:
Ba  0.000  0.000  0.000
Mg  0.000  0.000  0.500
Ag  0.500  0.500  0.313
Ag  0.500  0.500  0.687

=====

[9]
Here is YAl10Ru2 at its PBEsol-relaxed geometry from Alexandria via LeMat-Bulk. Energies are from meta-GGA SCAN.

## Properties
DFT total energy in eV/atom: -14.067
Formation enthalpy at 0 K in eV per formula unit: -7.9
Space-group type: No. 63

Cell lengths 6.800, 6.800, 9.067 Å; angles 90.00, 90.00, 96.84 degrees
Fractional positions:
Y  0.128  0.872  0.750
Y  0.872  0.128  0.250
Al  0.141  0.413  0.750
Al  0.157  0.843  0.100
Al  0.157  0.843  0.400
Al  0.219  0.480  0.250
Al  0.225  0.225  0.000
Al  0.225  0.225  0.500
Al  0.376  0.624  0.550
Al  0.376  0.624  0.950
Al  0.413  0.141  0.250
Al  0.480  0.219  0.750
Al  0.520  0.781  0.250
Al  0.587  0.859  0.750
Al  0.624  0.376  0.050
Al  0.624  0.376  0.450
Al  0.775  0.775  0.000
Al  0.775  0.775  0.500
Al  0.781  0.520  0.750
Al  0.843  0.157  0.600
Al  0.843  0.157  0.900
Al  0.859  0.587  0.250
Ru  0.000  0.500  0.000
Ru  0.000  0.500  0.500
Ru  0.500  0.000  0.000
Ru  0.500  0.000  0.500

=====

[10]
Here is LiLaPt2 at its PBEsol-relaxed geometry from Alexandria via LeMat-Bulk. Energies are from meta-GGA SCAN.

## Properties
DFT total energy in eV/atom: -47.477
Formation enthalpy at 0 K in eV per formula unit: -4.0
Space-group type: No. 166

Cell lengths 5.459, 5.459, 5.459 Å; angles 46.40, 46.40, 46.40 degrees
Fractional positions:
Li  0.000  0.000  0.000
La  0.500  0.500  0.500
Pt  0.286  0.286  0.286
Pt  0.714  0.714  0.714

=====

[11]
Here is BePt2 at its PBEsol-relaxed geometry from Alexandria via LeMat-Bulk. Energies are from meta-GGA SCAN.

## Properties
DFT total energy in eV/atom: -48.849
Formation enthalpy at 0 K in eV per formula unit: -1.8
Space-group type: No. 12

Cell lengths 4.609, 4.609, 7.024 Å; angles 113.74, 113.74, 34.40 degrees
Fractional positions:
Be  0.180  0.180  0.107
Be  0.820  0.820  0.893
Pt  0.169  0.169  0.596
Pt  0.476  0.476  0.183
Pt  0.524  0.524  0.817
Pt  0.831  0.831  0.404

=====

[12]
Here is HgOs2Pb at its PBEsol-relaxed geometry from Alexandria via LeMat-Bulk. Energies are from meta-GGA SCAN.

## Properties
DFT total energy in eV/atom: -71.368
Formation enthalpy at 0 K in eV per formula unit: 2.2
Space-group type: No. 99

Cell lengths 2.930, 2.930, 8.855 Å; angles 90.00, 90.00, 90.00 degrees
Fractional positions:
Hg  0.000  0.000  0.000
Os  0.000  0.000  0.408
Os  0.500  0.500  0.233
Pb  0.500  0.500  0.662

=====

Q: Look up the DFT total energy of the second one.
A: -39.071 eV/atom